Entry 1:
# TcAs2O | the Open Quantum Materials Database | PBE | relaxed
data_TcAs2O
_chemical_formula_sum 'Tc2 As4 O2'
_symmetry_space_group_name_H-M 'P 1'
_symmetry_Int_Tables_number 1
_cell_length_a 2.968
_cell_length_b 6.154
_cell_length_c 6.927
_cell_angle_alpha 90.00
_cell_angle_beta 90.00
_cell_angle_gamma 90.00
loop_
_symmetry_equiv_pos_as_xyz
'x,y,z'
loop_
_atom_site_label
_atom_site_type_symbol
_atom_site_fract_x
_atom_site_fract_y
_atom_site_fract_z
Tc1 Tc 0.000 0.237 0.000
Tc2 Tc 0.000 0.763 0.500
As1 As 0.000 0.128 0.338
As2 As 0.000 0.872 0.838
As3 As 0.500 0.437 0.550
As4 As 0.500 0.563 0.050
O1 O 0.500 0.292 0.785
O2 O 0.500 0.708 0.285
# Symmetry: Pmc2_1
# Total moment: 0.0 μB per formula unit
# Density: 6.93 g/cm³
# Energy: -6.369 eV/atom

Entry 2:
# ErZnCu | the Open Quantum Materials Database | PBE | relaxed
data_ErZnCu
_chemical_formula_sum 'Er1 Zn1 Cu1'
_symmetry_space_group_name_H-M 'P 1'
_symmetry_Int_Tables_number 1
_cell_length_a 4.575
_cell_length_b 4.575
_cell_length_c 4.575
_cell_angle_alpha 60.00
_cell_angle_beta 60.00
_cell_angle_gamma 60.00
loop_
_symmetry_equiv_pos_as_xyz
'x,y,z'
loop_
_atom_site_label
_atom_site_type_symbol
_atom_site_fract_x
_atom_site_fract_y
_atom_site_fract_z
Er1 Er 0.000 0.000 0.000
Zn1 Zn 0.250 0.250 0.250
Cu1 Cu 0.750 0.750 0.750
# Symmetry: F-43m
# Calculated formation energy: 0.29 eV per atom
# Total moment: 0.0 μB per formula unit
# Density: 7.26 g/cm³

Entry 3:
# Li4AlGa2Au | the Open Quantum Materials Database | PBE | relaxed
data_Li4AlGa2Au
_chemical_formula_sum 'Li4 Al1 Ga2 Au1'
_symmetry_space_group_name_H-M 'P 1'
_symmetry_Int_Tables_number 1
_cell_length_a 4.366
_cell_length_b 4.366
_cell_length_c 6.271
_cell_angle_alpha 90.00
_cell_angle_beta 90.00
_cell_angle_gamma 90.00
loop_
_symmetry_equiv_pos_as_xyz
'x,y,z'
loop_
_atom_site_label
_atom_site_type_symbol
_atom_site_fract_x
_atom_site_fract_y
_atom_site_fract_z
Li1 Li 0.000 0.000 0.000
Li2 Li 0.000 0.500 0.743
Li3 Li 0.500 0.000 0.257
Li4 Li 0.500 0.500 0.500
Al1 Al 0.500 0.500 0.000
Ga1 Ga 0.000 0.500 0.249
Ga2 Ga 0.500 0.000 0.751
Au1 Au 0.000 0.000 0.500
# Symmetry: P-4m2
# Density: 5.43 g/cm³
# Energy: -2.997 eV/atom

Entry 4:
# Pm2Nb2O5 | the Open Quantum Materials Database | PBE | relaxed
data_Pm2Nb2O5
_chemical_formula_sum 'Pm2 Nb2 O5'
_symmetry_space_group_name_H-M 'P 1'
_symmetry_Int_Tables_number 1
_cell_length_a 3.540
_cell_length_b 3.540
_cell_length_c 10.154
_cell_angle_alpha 90.00
_cell_angle_beta 90.00
_cell_angle_gamma 90.00
loop_
_symmetry_equiv_pos_as_xyz
'x,y,z'
loop_
_atom_site_label
_atom_site_type_symbol
_atom_site_fract_x
_atom_site_fract_y
_atom_site_fract_z
Pm1 Pm 0.000 0.000 0.236
Pm2 Pm 0.000 0.000 0.764
Nb1 Nb 0.500 0.500 0.000
Nb2 Nb 0.500 0.500 0.500
O1 O 0.000 0.000 0.000
O2 O 0.000 0.500 0.381
O3 O 0.000 0.500 0.619
O4 O 0.500 0.000 0.381
O5 O 0.500 0.000 0.619
# Symmetry: P4/mmm
# Total moment: 0.2 μB per formula unit
# Density: 7.26 g/cm³
# Energy: -8.128 eV/atom

What is the density in the second record?
7.26 g/cm³

What did the second record say?
# ErZnCu | the Open Quantum Materials Database | PBE | relaxed
data_ErZnCu
_chemical_formula_sum 'Er1 Zn1 Cu1'
_symmetry_space_group_name_H-M 'P 1'
_symmetry_Int_Tables_number 1
_cell_length_a 4.575
_cell_length_b 4.575
_cell_length_c 4.575
_cell_angle_alpha 60.00
_cell_angle_beta 60.00
_cell_angle_gamma 60.00
loop_
_symmetry_equiv_pos_as_xyz
'x,y,z'
loop_
_atom_site_label
_atom_site_type_symbol
_atom_site_fract_x
_atom_site_fract_y
_atom_site_fract_z
Er1 Er 0.000 0.000 0.000
Zn1 Zn 0.250 0.250 0.250
Cu1 Cu 0.750 0.750 0.750
# Symmetry: F-43m
# Calculated formation energy: 0.29 eV per atom
# Total moment: 0.0 μB per formula unit
# Density: 7.26 g/cm³